Model P:
DFT (PBE-GGA) results for crystalline AlCoS2N at its relaxed geometry.

Crystal system ... tetragonal

Cell: 4.6452 4.6452 3.3878 Å, 90.00 90.00 90.00°
With the nearest neighbours (Å) after each atom.
Positions (direct):
Al (0.5000, 0.5000, 0.5000)  8 S 2.87
N (0.0000, 0.0000, 0.5000)  2 Co 1.69
S (0.0000, 0.5000, 0.0000)  2 Co 2.32
S (0.5000, 0.0000, 0.0000)  2 Co 2.32
Co (0.0000, 0.0000, 0.0000)  2 N 1.69

***

Model Q:
DFT (PBE-GGA) results for crystalline AlCoS2N at its relaxed geometry.

Crystal system ... tetragonal

Cell: 4.7261 4.7261 3.6321 Å, 90.00 90.00 90.00°
With the nearest neighbours (Å) after each atom.
Positions (direct):
Al (0.0000, 0.0000, 0.0000)  2 N 1.82
S (0.5000, 0.0000, 0.0000)  2 Al 2.36
S (0.0000, 0.5000, 0.0000)  2 Al 2.36
N (0.0000, 0.0000, 0.5000)  2 Al 1.82
Co (0.5000, 0.5000, 0.5000)  8 S 2.98

***

model P takes first place; second place is 0.327 eV/atom up.

***

Model P:
DFT (PBE-GGA) results for crystalline NaAlCo3 at its relaxed geometry.

Crystal system ... cubic

Cell: 4.3019 4.3019 4.3019 Å, 90.00 90.00 90.00°
With the nearest neighbours (Å) after each atom.
Positions (direct):
Al (0.5000, 0.5000, 0.5000)  12 Co 3.04
Co (0.0000, 0.5000, 0.0000)  2 Na 2.15
Co (0.5000, 0.0000, 0.0000)  2 Na 2.15
Co (0.0000, 0.0000, 0.5000)  2 Na 2.15
Na (0.0000, 0.0000, 0.0000)  6 Co 2.15

***

Model Q:
DFT (PBE-GGA) results for crystalline NaAlCo3 at its relaxed geometry.

Crystal system ... cubic

Cell: 4.4391 4.4391 4.4391 Å, 90.00 90.00 90.00°
With the nearest neighbours (Å) after each atom.
Positions (direct):
Al (0.0000, 0.0000, 0.0000)  6 Co 2.22
Co (0.5000, 0.0000, 0.0000)  2 Al 2.22
Co (0.0000, 0.0000, 0.5000)  2 Al 2.22
Co (0.0000, 0.5000, 0.0000)  2 Al 2.22
Na (0.5000, 0.5000, 0.5000)  12 Co 3.14

***

model Q takes first place; second place is 0.785 eV/atom up.

***

Model P:
DFT (PBE-GGA) results for crystalline NaAl2Co at its relaxed geometry.

Crystal system ... tetragonal

Cell: 5.5091 5.5091 8.0699 Å, 70.04 70.04 90.00°
With the nearest neighbours (Å) after each atom.
Positions (direct):
Na (0.5000, 0.5000, 0.0000)  8 Al 3.54-3.56, 4 Co 3.90
Na (0.2500, 0.7500, 0.5000)  8 Al 3.54-3.56, 4 Co 3.90
Al (0.8767, 0.1250, 0.2500)  2 Co 2.24
Al (0.8750, 0.1267, 0.7500)  2 Co 2.24
Al (0.8733, 0.6250, 0.2500)  2 Co 2.24
Al (0.3750, 0.1233, 0.7500)  2 Co 2.24
Co (0.0000, 0.0000, 0.0000)  4 Al 2.24
Co (0.7500, 0.2500, 0.5000)  4 Al 2.24

***

Model Q:
DFT (PBE-GGA) results for crystalline NaAl2Co at its relaxed geometry.

Crystal system ... cubic

Cell: 4.3799 4.3799 4.3799 Å, 60.00 60.00 60.00°
With the nearest neighbours (Å) after each atom.
Positions (direct):
Na (0.0000, 0.0000, 0.0000)  8 Al 2.68
Al (0.2500, 0.2500, 0.2500)  4 Co 2.68, 4 Na 2.68
Al (0.7500, 0.7500, 0.7500)  4 Co 2.68, 4 Na 2.68
Co (0.5000, 0.5000, 0.5000)  8 Al 2.68

***

model Q takes first place; second place is 0.253 eV/atom up.